[1]
VASP calculation (PBE) on a geometry-optimized K3HoNp3Se8 structure.

a b c (Å): 8.4128 8.4122 9.1573
angles (deg): 117.34 90.00 120.00
Site moments in Bohr magnetons follow the coordinates.
Positions (direct):
Se 0.2655 0.5310 0.2965  -0.09
Se 0.7667 0.5334 0.2996  -0.07
Se 0.7340 0.9672 0.7004  -0.07
Se 0.2333 0.4666 0.7004  -0.07
Se 0.2660 0.0328 0.2996  -0.07
Se 0.7345 0.4690 0.7035  -0.09
Se 0.2332 0.9672 0.7004  -0.07
Se 0.7668 0.0328 0.2996  -0.07
K 0.0000 0.5000 0.0000  0.00
K 0.0000 0.0000 0.0000  0.00
K 0.5000 0.5000 0.0000  0.00
Np 0.0000 0.5000 0.5000  3.75
Np 0.5000 0.0000 0.5000  3.75
Np 0.5000 0.5000 0.5000  3.75
Ho 0.0000 0.0000 0.5000  0.03

Summary:
* V: 475.8 Å³/f.u.
* energy relative to the elements, uncorrected: -1.3713 eV per atom
* magnetic moment: 11.00 μB/f.u.
* space-group type: R-3m, No. 166
* E: -95.14 eV/cell

***

[2]
VASP calculation (PBE) on a geometry-optimized K4Ho3NpTe8 structure.

a b c (Å): 9.0159 9.7408 9.0132
angles (deg): 117.54 120.01 90.00
Site moments in Bohr magnetons follow the coordinates.
Positions (direct):
K 0.0000 0.0000 0.0000  0.00
K 0.5000 0.0000 0.0000  0.00
K 0.0000 0.0000 0.5000  0.00
K 0.5000 0.0000 0.5000  0.00
Ho 0.5000 0.5000 0.5000  0.01
Ho 0.5000 0.5000 0.0000  0.02
Ho 0.0000 0.5000 0.5000  0.01
Te 0.7609 0.2912 0.0299  -0.02
Te 0.2642 0.2928 0.5285  0.00
Te 0.2389 0.7090 0.4778  -0.02
Te 0.2391 0.7088 0.9701  -0.02
Te 0.7358 0.7072 0.4715  0.00
Te 0.2690 0.2912 0.0299  -0.02
Te 0.7611 0.2910 0.5222  -0.02
Te 0.7310 0.7088 0.9701  -0.02
Np 0.0000 0.5000 0.0000  3.98

Summary:
* V: 579.5 Å³/f.u.
* energy relative to the elements, uncorrected: -1.2587 eV per atom
* magnetic moment: 4.00 μB/f.u.
* space-group type: R-3m, No. 166
* E: -76.34 eV/cell

***

[3]
VASP calculation (PBE) on a geometry-optimized K4HoNp3Te8 structure.

a b c (Å): 9.1089 9.7572 9.1355
angles (deg): 117.97 119.90 90.00
Site moments in Bohr magnetons follow the coordinates.
Positions (direct):
K 0.0000 0.0000 0.0000  0.00
K 0.0000 0.0000 0.5000  0.00
K 0.5000 0.0000 0.5000  0.00
K 0.5000 0.0000 0.0000  0.00
Te 0.7662 0.2897 0.0242  0.00
Te 0.2338 0.7103 0.9758  0.00
Te 0.7377 0.7106 0.4753  -0.03
Te 0.7420 0.7103 0.9758  0.00
Te 0.2338 0.7084 0.4676  -0.05
Te 0.2623 0.2894 0.5247  -0.03
Te 0.7662 0.2916 0.5324  -0.05
Te 0.2580 0.2897 0.0242  0.00
Np 0.5000 0.5000 0.5000  3.98
Np 0.5000 0.5000 0.0000  -3.97
Np 0.0000 0.5000 0.5000  3.98
Ho 0.0000 0.5000 0.0000  0.02

Summary:
* V: 591.9 Å³/f.u.
* energy relative to the elements, uncorrected: -1.0013 eV per atom
* magnetic moment: 3.98 μB/f.u.
* space-group type: C2/m, No. 12
* E: -88.94 eV/cell

***

[4]
VASP calculation (PBE) on a geometry-optimized K2HoNpTe4 structure.

a b c (Å): 4.5238 7.8671 8.6155
angles (deg): 107.68 90.00 90.00
Site moments in Bohr magnetons follow the coordinates.
Positions (direct):
Te 0.0000 0.2691 0.7916  -0.02
Te 0.5000 0.7591 0.7910  -0.05
Te 0.5000 0.2409 0.2090  -0.05
Te 0.0000 0.7309 0.2084  -0.02
Np 0.0000 0.0000 0.0000  3.98
Ho 0.5000 0.5000 0.0000  0.03
K 0.0000 0.5000 0.5000  0.00
K 0.5000 0.0000 0.5000  0.00

Summary:
* V: 292.1 Å³/f.u.
* energy relative to the elements, uncorrected: -1.1322 eV per atom
* magnetic moment: 4.00 μB/f.u.
* space-group type: P2/m, No. 10
* E: -41.34 eV/cell

***

[5]
VASP calculation (PBE) on a geometry-optimized KHo2O structure.

a b c (Å): 3.5412 3.5412 10.1864
angles (deg): 79.99 79.99 60.00
Positions (direct):
K 0.0000 0.0000 0.0000
O 0.5000 0.5000 0.5000
Ho 0.8766 0.8766 0.3701
Ho 0.1234 0.1234 0.6299

Summary:
* V: 108.4 Å³/f.u.
* energy relative to the elements, uncorrected: -1.0671 eV per atom
* magnetic moment: 0.01 μB/f.u.
* space-group type: R-3m, No. 166
* E: -19.48 eV/cell

***

[6]
VASP calculation (PBE) on a geometry-optimized KHoO structure.

a b c (Å): 3.7941 3.7941 7.6408
angles (deg): 90.00 90.00 120.00
Positions (direct):
K 0.0000 0.0000 0.9997
Ho 0.6667 0.3333 0.4995
O 0.3333 0.6667 0.5008

Summary:
* V: 95.3 Å³/f.u.
* energy relative to the elements, uncorrected: -1.6126 eV per atom
* magnetic moment: 0.00 μB/f.u.
* space-group type: P3m1, No. 156
* E: -15.47 eV/cell

***

[7]
VASP calculation (PBE) on a geometry-optimized K3HoO3 structure.

a b c (Å): 7.1159 7.1159 6.9917
angles (deg): 93.85 93.85 117.05
Positions (direct):
O 0.8242 0.5407 0.7318
O 0.1758 0.4593 0.2682
O 0.8955 0.8955 0.1656
O 0.1045 0.1045 0.8344
O 0.5407 0.8242 0.7318
O 0.4593 0.1758 0.2682
K 0.2097 0.7903 0.5000
K 0.3623 0.3623 0.6357
K 0.6377 0.6377 0.3643
K 0.7412 0.2588 0.0000
K 0.7903 0.2097 0.5000
K 0.2588 0.7412 0.0000
Ho 0.1839 0.1839 0.1475
Ho 0.8161 0.8161 0.8525

Summary:
* V: 156.3 Å³/f.u.
* energy relative to the elements, uncorrected: -1.9646 eV per atom
* magnetic moment: 0.12 μB/f.u.
* space-group type: C2/m, No. 12
* E: -72.99 eV/cell

***

[8]
VASP calculation (PBE) on a geometry-optimized K2Ho2OsO6 structure.

a b c (Å): 5.7418 5.7418 6.5757
angles (deg): 97.69 97.69 119.64
Site moments in Bohr magnetons follow the coordinates.
Positions (direct):
O 0.3590 0.0466 0.6706  0.08
O 0.2553 0.2553 0.3217  0.04
O 0.0466 0.3590 0.6706  0.08
O 0.6410 0.9534 0.3294  0.08
O 0.7447 0.7447 0.6783  0.04
O 0.9534 0.6410 0.3294  0.08
K 0.1600 0.8400 0.0000  0.00
K 0.8400 0.1600 0.0000  0.00
Os 0.0000 0.0000 0.5000  1.44
Ho 0.6631 0.3369 0.5000  0.03
Ho 0.3369 0.6631 0.5000  0.03

Summary:
* V: 181.6 Å³/f.u.
* energy relative to the elements, uncorrected: -2.2052 eV per atom
* magnetic moment: 2.00 μB/f.u.
* space-group type: C2/m, No. 12
* E: -76.59 eV/cell

***

Q: Among the records above, which one has the lowest V?
A: KHoO

***

Copy entry 5 word for word.
VASP calculation (PBE) on a geometry-optimized KHo2O structure.

a b c (Å): 3.5412 3.5412 10.1864
angles (deg): 79.99 79.99 60.00
Positions (direct):
K 0.0000 0.0000 0.0000
O 0.5000 0.5000 0.5000
Ho 0.8766 0.8766 0.3701
Ho 0.1234 0.1234 0.6299

Summary:
* V: 108.4 Å³/f.u.
* energy relative to the elements, uncorrected: -1.0671 eV per atom
* magnetic moment: 0.01 μB/f.u.
* space-group type: R-3m, No. 166
* E: -19.48 eV/cell